(1)
DFT (GGA-PBE) results for crystalline Tb2Er2Sb5 at its relaxed geometry.

Structure (extended XYZ):
```
18
Lattice="8.208 0.000 0.000 0.000 7.556 -4.483 0.000 -0.821 8.748" Properties=species:S:1:pos:R:3 pbc="T T T"
Tb 4.104 1.764 4.664
Tb 0.000 5.953 -1.951
Tb 4.104 4.971 -0.400
Tb 0.000 0.782 6.215
Sb 5.313 -0.172 2.472
Sb 1.209 1.207 3.345
Sb 0.000 0.000 0.000
Sb 5.313 2.161 -1.212
Sb 2.896 6.907 1.793
Sb 4.104 3.368 2.132
Sb 7.000 5.529 0.920
Sb 1.209 3.540 -0.340
Sb 7.000 3.196 4.604
Sb 2.896 4.574 5.477
Er 1.315 4.416 2.796
Er 6.893 2.319 1.469
Er 5.420 5.687 3.601
Er 2.789 1.048 0.664
```

## Properties
As for the raw formation energy: -726 kJ/mol of formula units. The calculation puts the total DFT energy (no corrections) at -0.1900 hartree per atom. The space group is Cmce.

(2)
DFT (GGA-PBE) results for crystalline Tb4Er5Sb2 at its relaxed geometry.

Structure (extended XYZ):
```
11
Lattice="6.347 1.491 -0.432 4.424 4.790 -0.432 -1.489 -0.868 14.367" Properties=species:S:1:pos:R:3 pbc="T T T"
Tb 2.352 1.372 2.533
Tb 3.986 2.324 10.582
Tb 5.296 3.088 2.920
Tb 6.930 4.041 10.969
Er 3.950 2.303 -0.283
Er 1.496 0.872 5.668
Er 4.641 2.706 6.751
Er 5.332 3.109 13.785
Er 7.786 4.540 7.834
Sb 8.970 5.230 4.269
Sb 0.313 0.182 9.234
```

## Properties
As for the raw formation energy: -256 kJ/mol of formula units. The calculation puts the total DFT energy (no corrections) at -0.1745 hartree per atom. The space group is C2/m.

(3)
DFT (GGA-PBE) results for crystalline Tb5Er3Sb8 at its relaxed geometry.

Structure (extended XYZ):
```
16
Lattice="-6.739 5.338 -1.721 -5.227 2.698 6.501 0.242 8.356 2.638" Properties=species:S:1:pos:R:3 pbc="T T T"
Sb -8.913 8.135 4.251
Sb -2.810 8.257 3.168
Sb -5.528 5.454 5.115
Sb -5.435 9.612 6.433
Sb -8.807 12.274 5.560
Sb -6.287 6.780 0.985
Sb -6.195 10.938 2.303
Sb -2.916 4.118 1.858
Tb -5.861 8.196 3.709
Tb -2.613 1.349 3.251
Tb 0.000 0.000 0.000
Tb -5.983 4.018 2.390
Tb -3.369 2.669 -0.861
Er -3.248 6.847 0.458
Er -2.492 5.527 4.570
Er 0.121 4.178 1.319
```

## Properties
As for the raw formation energy: -1740 kJ/mol of formula units. The calculation puts the total DFT energy (no corrections) at -0.2018 hartree per atom. The space group is R-3m.

(4)
DFT (GGA-PBE) results for crystalline Tb5ErSb4 at its relaxed geometry.

Structure (extended XYZ):
```
10
Lattice="4.305 0.000 0.000 0.000 8.402 -0.608 -2.153 -1.841 9.144" Properties=species:S:1:pos:R:3 pbc="T T T"
Sb 0.000 6.455 5.509
Sb 0.000 2.114 -0.023
Sb 2.153 0.106 3.027
Sb 2.153 4.447 8.559
Tb 0.000 6.312 2.495
Tb 2.153 4.271 5.510
Tb 2.153 0.249 6.042
Tb 2.153 4.201 -0.304
Tb 0.000 2.290 3.027
Er 2.153 0.000 0.000
```

## Properties
As for the raw formation energy: -711 kJ/mol of formula units. The calculation puts the total DFT energy (no corrections) at -0.1895 hartree per atom. The space group is C2/m.

(5)
DFT (GGA-PBE) results for crystalline TbErSb at its relaxed geometry.

Structure (extended XYZ):
```
6
Lattice="-4.055 -1.798 0.531 1.835 -4.066 0.245 0.725 0.830 8.351" Properties=species:S:1:pos:R:3 pbc="T T T"
Sb 0.327 -3.827 2.188
Sb -2.206 -2.221 7.073
Tb -0.384 -1.558 4.436
Tb -1.495 -4.490 4.824
Er -2.666 -2.747 1.783
Er 0.786 -3.301 7.477
```

## Properties
As for the raw formation energy: -223 kJ/mol of formula units. The calculation puts the total DFT energy (no corrections) at -0.1914 hartree per atom. The space group is P4/nmm.

(6)
DFT (GGA-PBE) results for crystalline TbErSb at its relaxed geometry.

Structure (extended XYZ):
```
3
Lattice="3.963 0.000 0.000 0.000 3.963 0.000 -1.982 -1.982 5.294" Properties=species:S:1:pos:R:3 pbc="T T T"
Tb 1.982 1.982 4.880
Sb 1.982 1.982 1.261
Er 0.000 0.000 2.858
```

## Properties
As for the raw formation energy: -181 kJ/mol of formula units. The calculation puts the total DFT energy (no corrections) at -0.1861 hartree per atom. The space group is I4mm.

(7)
DFT (GGA-PBE) results for crystalline TbErSbTe at its relaxed geometry.

Structure (extended XYZ):
```
4
Lattice="-1.063 -4.144 0.002 3.000 1.440 2.688 -5.573 3.639 4.270" Properties=species:S:1:pos:R:3 pbc="T T T"
Er 2.193 1.230 3.007
Tb -3.629 0.515 3.080
Te -1.894 -2.138 2.565
Sb -3.550 2.703 5.223
```

## Properties
As for the raw formation energy: -463 kJ/mol of formula units. The calculation puts the total DFT energy (no corrections) at -0.1952 hartree per atom. The space group is R3m.

(8)
DFT (GGA-PBE) results for crystalline TbEr3Th2Sb6 at its relaxed geometry.

Structure (extended XYZ):
```
12
Lattice="4.425 0.000 0.000 0.000 8.804 0.330 -2.212 -2.520 9.273" Properties=species:S:1:pos:R:3 pbc="T T T"
Sb 0.000 6.462 6.479
Sb 0.000 1.924 6.355
Sb 0.000 6.579 0.306
Sb 2.212 -0.295 9.297
Sb 2.212 -0.178 3.123
Sb 2.212 4.360 3.247
Th 0.000 2.081 3.168
Th 2.212 4.203 6.434
Tb 2.212 0.000 0.000
Er 2.212 4.402 0.165
Er 0.000 6.501 3.373
Er 2.212 -0.217 6.230
```

## Properties
As for the raw formation energy: -1210 kJ/mol of formula units. The calculation puts the total DFT energy (no corrections) at -0.2157 hartree per atom. The space group is C2/m.

(9)
DFT (GGA-PBE) results for crystalline Tb2ErThSb4 at its relaxed geometry.

Structure (extended XYZ):
```
8
Lattice="4.427 0.000 0.000 0.000 7.651 -0.153 0.000 2.692 7.152" Properties=species:S:1:pos:R:3 pbc="T T T"
Tb 0.000 2.692 7.152
Tb 2.214 1.346 3.576
Sb 0.000 7.770 5.203
Sb 2.214 6.423 1.706
Sb 2.214 3.920 5.294
Sb 4.427 2.572 1.797
Er 0.000 5.171 3.500
Th 2.214 3.826 -0.076
```

## Properties
As for the raw formation energy: -838 kJ/mol of formula units. The calculation puts the total DFT energy (no corrections) at -0.2132 hartree per atom. The space group is P2/m.

(10)
DFT (GGA-PBE) results for crystalline TbErTh2Sb4 at its relaxed geometry.

Structure (extended XYZ):
```
8
Lattice="-1.143 -3.022 -3.068 5.415 -4.728 2.640 -2.948 -4.501 5.532" Properties=species:S:1:pos:R:3 pbc="T T T"
Sb 1.795 -6.885 6.113
Sb -1.358 -6.095 3.274
Sb -0.472 -5.366 -1.010
Sb 2.682 -6.156 1.829
Tb -0.812 -8.376 5.317
Th -2.046 -3.762 1.232
Th -2.948 -4.501 5.532
Er 1.233 -4.614 4.086
```

## Properties
As for the raw formation energy: -784 kJ/mol of formula units. The calculation puts the total DFT energy (no corrections) at -0.2235 hartree per atom. The space group is P2/m.

(11)
DFT (GGA-PBE) results for crystalline TbErTh2Sb5 at its relaxed geometry.

Structure (extended XYZ):
```
9
Lattice="-5.116 -1.084 -0.174 0.351 -2.403 4.635 -2.281 9.914 5.312" Properties=species:S:1:pos:R:3 pbc="T T T"
Er -1.141 4.957 2.656
Th -3.066 1.228 3.823
Th -3.980 5.199 5.950
Tb 0.000 0.000 0.000
Sb -2.382 -1.743 2.231
Sb -0.965 3.756 4.973
Sb -3.699 4.415 2.569
Sb -1.714 7.450 3.991
Sb -0.567 2.464 1.320
```

## Properties
As for the raw formation energy: -188 kJ/mol of formula units. The calculation puts the total DFT energy (no corrections) at -0.1902 hartree per atom. The space group is P4/mmm.

(12)
DFT (GGA-PBE) results for crystalline TbEr2ThSb4 at its relaxed geometry.

Structure (extended XYZ):
```
8
Lattice="4.414 0.000 0.000 0.000 7.616 -0.146 0.000 2.685 7.141" Properties=species:S:1:pos:R:3 pbc="T T T"
Sb 4.414 2.526 1.796
Sb 2.207 3.871 5.312
Sb 0.000 7.774 5.199
Sb 2.207 6.429 1.682
Er 2.207 1.342 3.570
Er 0.000 2.685 7.140
Th 2.207 6.493 7.067
Tb 0.000 5.150 3.497
```

## Properties
As for the raw formation energy: -828 kJ/mol of formula units. The calculation puts the total DFT energy (no corrections) at -0.2124 hartree per atom. The space group is P2/m.

Question: Which value of total DFT energy (no corrections) does entry 9 give?
Answer: -0.2132 hartree per atom

Question: Which of these has the highest raw formation energy?
Answer: number 6